[1]
The following is a PBEsol calculation of crystalline Sr2DyReO6 at its relaxed geometry, from the Alexandria database.

Cell and atoms, written as POSCAR:
```
Sr2DyReO6
1.0
-1.5221 -0.7330 -5.5722
-4.9576 -2.7509 -1.3261
-4.4845 2.9849 -2.2098
Sr Dy Re O
2 1 1 6
Direct
0.2500 0.2500 0.2500
0.7500 0.7500 0.7500
0.5000 0.5000 0.5000
0.0000 0.0000 0.0000
0.2357 0.7643 0.2357
0.7643 0.7643 0.2357
0.2357 0.2357 0.7643
0.7643 0.2357 0.2357
0.7643 0.2357 0.7643
0.2357 0.7643 0.7643
```

## Properties
**SG**: Fm-3m
**Calculated total energy**: -7.977 eV per atom
**ΔE_f (raw)**: -60.605 kcal/mol of atoms
**DOS(E_F)**: 4.49 states/eV/f.u.

***

[2]
The following is a PBEsol calculation of crystalline Re2SiAg at its relaxed geometry, from the Alexandria database.

Cell and atoms, written as POSCAR:
```
Re2SiAg
1.0
-1.0047 -2.6234 -0.8700
-0.7051 -0.6518 2.7796
-6.0248 2.6111 -0.9161
Ag Re Si
1 2 1
Direct
0.5000 0.5000 0.5000
0.0000 0.0000 0.7925
0.0000 0.0000 0.2075
0.5000 0.5000 0.0000
```

## Properties
**SG**: P4/mmm
**Calculated total energy**: -8.669 eV per atom
**ΔE_f (raw)**: 6.021 kcal/mol of atoms
**DOS(E_F)**: 3.30 states/eV/f.u.

***

[3]
The following is a PBEsol calculation of crystalline TaBiS3 at its relaxed geometry, from the Alexandria database.

Cell and atoms, written as POSCAR:
```
TaBiS3
1.0
-2.2037 4.1862 -0.4428
-0.0165 -0.5084 -4.7242
-4.2095 -2.1895 0.2503
S Bi Ta
3 1 1
Direct
0.0000 0.5000 0.0000
0.0000 0.0000 0.5000
0.5000 0.0000 0.0000
0.5000 0.5000 0.5000
0.0000 0.0000 0.0000
```

## Properties
**SG**: Pm-3m
**Calculated total energy**: -6.337 eV per atom
**ΔE_f (raw)**: -7.817 kcal/mol of atoms
**DOS(E_F)**: 3.95 states/eV/f.u.